# GGA-PBE CuReW2, relaxed
data_CuReW2
_space_group_name_H-M_alt 'P m m m'
_space_group_IT_number 47
_cell_length_a 2.798
_cell_length_b 3.962
_cell_length_c 5.429
_cell_angle_alpha 90.00
_cell_angle_beta 90.00
_cell_angle_gamma 90.00
loop_
_space_group_symop_operation_xyz
'x,y,z'
'-x,-y,-z'
'-x,-y,z'
'x,y,-z'
'x,-y,-z'
'-x,y,z'
'-x,y,-z'
'x,-y,z'
loop_
_atom_site_label
_atom_site_type_symbol
_atom_site_fract_x
_atom_site_fract_y
_atom_site_fract_z
_atom_site_occupancy
Cu1 Cu 0.000 0.000 0.000 1
Re1 Re 0.000 0.000 0.500 1
W1 W 0.500 0.500 0.253 1
# * energy of formation: 0.28 eV/atom

---

# GGA-PBE BaBeP2, relaxed
data_BaBeP2
_space_group_name_H-M_alt 'P 4/m m m'
_space_group_IT_number 123
_space_group_name_Hall '-P 4 2'
_cell_length_a 3.447
_cell_length_b 3.447
_cell_length_c 6.543
_cell_angle_alpha 90.00
_cell_angle_beta 90.00
_cell_angle_gamma 90.00
loop_
_atom_site_label
_atom_site_type_symbol
_atom_site_fract_x
_atom_site_fract_y
_atom_site_fract_z
_atom_site_occupancy
Ba1 Ba 0.000 0.000 0.000 1
Be1 Be 0.000 0.000 0.500 1
P1 P 0.500 0.500 0.336 1
# * energy of formation: -0.02 eV/atom

---

## AgSCl (GGA-PBE)

Data for crystalline AgSCl at its relaxed geometry.

```
data_AgSCl
_space_group_name_H-M_alt 'P 1'
_space_group_IT_number 1
_cell_length_a 4.296
_cell_length_b 6.335
_cell_length_c 6.696
_cell_angle_alpha 62.05
_cell_angle_beta 87.20
_cell_angle_gamma 83.66
loop_
_space_group_symop_operation_xyz
'x,y,z'
loop_
_atom_site_label
_atom_site_type_symbol
_atom_site_fract_x
_atom_site_fract_y
_atom_site_fract_z
_atom_site_occupancy
Ag1 Ag 0.000 0.000 0.000 1
Ag2 Ag 0.499 0.659 0.690 1
S1 S 0.174 0.566 0.042 1
S2 S 0.827 0.393 0.039 1
Cl1 Cl 0.499 0.117 0.763 1
Cl2 Cl 0.999 0.778 0.447 1
```

---

no.,relative energy among the computed polymorphs (meV per atom)
1,58
2,572
3,45